Record 1
! PBE Hf3CdH, optimized geometry; values from VASP
&SYSTEM
  ibrav = 0, nat = 20, ntyp = 3
/
ATOMIC_SPECIES
Hf 178.49 Hf.upf
Cd 112.41 Cd.upf
H 1.01 H.upf
CELL_PARAMETERS angstrom
7.889 0.000 0.000
0.000 5.464 0.000
-6.572 0.000 8.434
ATOMIC_POSITIONS angstrom
Hf -1.929 0.882 2.863
Hf -5.215 1.849 7.081
Hf -1.752 3.599 4.399
Hf 1.534 4.596 0.181
Hf -2.541 0.984 6.144
Hf 0.745 1.748 1.927
Hf 0.573 3.715 6.507
Hf 3.859 4.480 2.290
Hf -0.216 0.867 8.253
Hf 3.069 1.864 4.036
Hf 6.532 3.614 1.354
Hf 3.246 4.581 5.571
Cd -2.256 3.775 7.548
Cd 1.030 4.421 3.331
Cd 0.288 1.043 5.103
Cd 3.574 1.689 0.886
H 0.517 0.864 0.160
H -2.768 1.868 4.377
H 4.086 3.596 4.057
H 0.800 4.600 8.275
! - Space group: P2_1/c, No. 14
! - Energy above the most stable polymorph in this dataset: 127 meV per atom
! - Theoretical density: 11.9 g/cm3
! - Crystal system: monoclinic


Record 2
! PBE Hf3CdH, optimized geometry; values from VASP
&SYSTEM
  ibrav = 0, nat = 10, ntyp = 3
/
ATOMIC_SPECIES
Hf 178.49 Hf.upf
Cd 112.41 Cd.upf
H 1.01 H.upf
CELL_PARAMETERS angstrom
3.207 -3.248 0.000
3.207 3.248 0.000
0.000 0.000 8.737
ATOMIC_POSITIONS angstrom
Hf 1.604 1.624 4.368
Hf 3.207 3.189 6.597
Hf 3.207 0.059 6.597
Hf 1.604 -1.624 4.368
Hf 3.207 -0.059 2.140
Hf 3.207 -3.189 2.140
Cd 1.604 1.624 0.000
Cd 1.604 -1.624 0.000
H 3.207 1.624 3.182
H 3.207 -1.624 5.555
! - Space group: Cmme, No. 67
! - Energy above the most stable polymorph in this dataset: 3 meV per atom
! - Theoretical density: 11.8 g/cm3
! - Crystal system: orthorhombic


Record 3
! PBE Hf3CdH, optimized geometry; values from VASP
&SYSTEM
  ibrav = 0, nat = 10, ntyp = 3
/
ATOMIC_SPECIES
Hf 178.49 Hf.upf
Cd 112.41 Cd.upf
H 1.01 H.upf
CELL_PARAMETERS angstrom
-2.971 2.971 5.358
2.971 -2.971 5.358
2.971 2.971 -5.358
ATOMIC_POSITIONS angstrom
Hf 0.000 0.000 1.400
Hf 1.442 2.971 -1.404
Hf 1.530 0.000 3.954
Hf 2.971 1.442 1.404
Hf 0.000 0.000 9.316
Hf 0.000 1.530 6.761
Cd 0.000 2.971 1.257
Cd 0.000 2.971 4.101
H 2.971 0.000 2.679
H 0.000 0.000 5.358
! - Space group: I-4m2, No. 119
! - Energy above the most stable polymorph in this dataset: 258 meV per atom
! - Theoretical density: 11.4 g/cm3
! - Crystal system: tetragonal


Record 4
! PBE Hf3CdH, optimized geometry; values from VASP
&SYSTEM
  ibrav = 0, nat = 10, ntyp = 3
/
ATOMIC_SPECIES
Hf 178.49 Hf.upf
Cd 112.41 Cd.upf
H 1.01 H.upf
CELL_PARAMETERS angstrom
3.960 2.286 3.274
-3.960 2.286 3.274
0.000 -4.572 3.274
ATOMIC_POSITIONS angstrom
Hf -0.980 -1.697 2.456
Hf -0.980 1.697 2.456
Hf 1.960 0.000 2.456
Hf -1.960 0.000 7.367
Hf 0.980 -1.697 7.367
Hf 0.980 1.697 7.367
Cd 0.000 0.000 0.000
Cd 0.000 0.000 4.911
H 0.000 0.000 2.456
H 0.000 0.000 7.367
! - Space group: R-3c, No. 167
! - Energy above the most stable polymorph in this dataset: 116 meV per atom
! - Theoretical density: 12.1 g/cm3
! - Crystal system: trigonal


Record 5
! PBE Hf3CdH, optimized geometry; values from VASP
&SYSTEM
  ibrav = 0, nat = 10, ntyp = 3
/
ATOMIC_SPECIES
Hf 178.49 Hf.upf
Cd 112.41 Cd.upf
H 1.01 H.upf
CELL_PARAMETERS angstrom
3.075 -4.655 0.000
3.075 4.655 0.000
0.000 0.000 6.142
ATOMIC_POSITIONS angstrom
Hf 3.075 2.365 4.606
Hf 1.518 0.000 0.000
Hf 1.518 0.000 3.071
Hf 4.631 0.000 0.000
Hf 4.631 0.000 3.071
Hf 3.075 -2.365 1.535
Cd 3.075 2.378 1.535
Cd 3.075 -2.378 4.606
H 3.075 0.341 4.606
H 3.075 -0.341 1.535
! - Space group: Cmcm, No. 63
! - Energy above the most stable polymorph in this dataset: 26 meV per atom
! - Theoretical density: 12.3 g/cm3
! - Crystal system: orthorhombic


Record 6
! PBE Hf3CdH, optimized geometry; values from VASP
&SYSTEM
  ibrav = 0, nat = 10, ntyp = 3
/
ATOMIC_SPECIES
Hf 178.49 Hf.upf
Cd 112.41 Cd.upf
H 1.01 H.upf
CELL_PARAMETERS angstrom
7.880 -1.552 0.000
7.880 1.552 0.000
-1.776 0.000 7.533
ATOMIC_POSITIONS angstrom
Hf 0.195 0.000 1.620
Hf 0.865 0.000 7.234
Hf 3.065 0.000 5.061
Hf 10.919 0.000 2.473
Hf 13.119 0.000 0.299
Hf 13.789 0.000 5.913
Cd 5.668 0.000 3.124
Cd 8.316 0.000 4.409
H 2.140 0.000 1.611
H 11.844 0.000 5.922
! - Space group: C2/m, No. 12
! - Energy above the most stable polymorph in this dataset: 149 meV per atom
! - Theoretical density: 11.7 g/cm3
! - Crystal system: monoclinic


Record 7
! PBE Hf2CdHgH, optimized geometry; values from VASP
&SYSTEM
  ibrav = 0, nat = 5, ntyp = 4
/
ATOMIC_SPECIES
Hf 178.49 Hf.upf
Cd 112.41 Cd.upf
Hg 200.59 Hg.upf
H 1.01 H.upf
CELL_PARAMETERS angstrom
4.329 0.000 0.000
0.000 4.329 0.000
0.000 0.000 4.573
ATOMIC_POSITIONS angstrom
Hf 0.000 2.164 0.000
Hf 2.164 0.000 0.000
Cd 0.000 0.000 2.286
Hg 2.164 2.164 2.286
H 0.000 0.000 0.000
! - Space group: P4/mmm, No. 123
! - Energy above the most stable polymorph in this dataset: 0 meV per atom
! - Theoretical density: 13.0 g/cm3
! - Crystal system: tetragonal


Record 8
! PBE Hf2CdInH, optimized geometry; values from VASP
&SYSTEM
  ibrav = 0, nat = 5, ntyp = 4
/
ATOMIC_SPECIES
Hf 178.49 Hf.upf
Cd 112.41 Cd.upf
In 114.82 In.upf
H 1.01 H.upf
CELL_PARAMETERS angstrom
4.298 0.000 0.000
0.000 4.298 0.000
0.000 0.000 4.734
ATOMIC_POSITIONS angstrom
Hf 0.000 2.149 0.000
Hf 2.149 0.000 0.000
Cd 0.000 0.000 2.367
In 2.149 2.149 2.367
H 0.000 0.000 0.000
! - Space group: P4/mmm, No. 123
! - Energy above the most stable polymorph in this dataset: 0 meV per atom
! - Theoretical density: 11.1 g/cm3
! - Crystal system: tetragonal


Record 9
! PBE Hf2MgCdH, optimized geometry; values from VASP
&SYSTEM
  ibrav = 0, nat = 5, ntyp = 4
/
ATOMIC_SPECIES
Hf 178.49 Hf.upf
Mg 24.30 Mg.upf
Cd 112.41 Cd.upf
H 1.01 H.upf
CELL_PARAMETERS angstrom
4.317 0.000 0.000
0.000 4.317 0.000
0.000 0.000 4.606
ATOMIC_POSITIONS angstrom
Hf 0.000 2.158 0.000
Hf 2.158 0.000 0.000
Mg 0.000 0.000 2.303
Cd 2.158 2.158 2.303
H 0.000 0.000 0.000
! - Space group: P4/mmm, No. 123
! - Energy above the most stable polymorph in this dataset: 0 meV per atom
! - Theoretical density: 9.6 g/cm3
! - Crystal system: tetragonal


Record 10
! PBE Hf2MnCdH, optimized geometry; values from VASP
&SYSTEM
  ibrav = 0, nat = 5, ntyp = 4
/
ATOMIC_SPECIES
Hf 178.49 Hf.upf
Mn 54.94 Mn.upf
Cd 112.41 Cd.upf
H 1.01 H.upf
CELL_PARAMETERS angstrom
4.600 0.000 0.000
0.000 4.600 0.000
0.000 0.000 3.598
ATOMIC_POSITIONS angstrom
Hf 0.000 2.300 0.000
Hf 2.300 0.000 0.000
Mn 0.000 0.000 1.799
Cd 2.300 2.300 1.799
H 0.000 0.000 0.000
! - Uncorrected energy: -33.51 eV for the cell shown
! - Space group: P4/mmm, No. 123
! - Theoretical density: 11.5 g/cm3
! - Crystal system: tetragonal


Record 11
! PBE Hf2CdMoH, optimized geometry; values from VASP
&SYSTEM
  ibrav = 0, nat = 5, ntyp = 4
/
ATOMIC_SPECIES
Hf 178.49 Hf.upf
Cd 112.41 Cd.upf
Mo 95.94 Mo.upf
H 1.01 H.upf
CELL_PARAMETERS angstrom
4.621 0.000 0.000
0.000 4.621 0.000
0.000 0.000 3.762
ATOMIC_POSITIONS angstrom
Hf 0.000 2.310 0.000
Hf 2.310 0.000 0.000
Cd 0.000 0.000 1.881
Mo 2.310 2.310 1.881
H 2.310 2.310 0.000
! - Uncorrected energy: -35.45 eV for the cell shown
! - Space group: P4/mmm, No. 123
! - Theoretical density: 11.7 g/cm3
! - Crystal system: tetragonal


Record 12
! PBE NaHfCdH2, optimized geometry; values from VASP
&SYSTEM
  ibrav = 0, nat = 5, ntyp = 4
/
ATOMIC_SPECIES
Na 22.99 Na.upf
Hf 178.49 Hf.upf
Cd 112.41 Cd.upf
H 1.01 H.upf
CELL_PARAMETERS angstrom
3.978 0.000 0.000
0.000 3.978 0.000
0.000 0.000 5.817
ATOMIC_POSITIONS angstrom
Na 0.000 0.000 0.000
Hf 1.989 1.989 2.909
Cd 1.989 1.989 0.000
H 0.000 1.989 2.909
H 1.989 0.000 2.909
! - Uncorrected energy: -17.77 eV for the cell shown
! - Space group: P4/mmm, No. 123
! - Theoretical density: 5.7 g/cm3
! - Crystal system: tetragonal


| no. | D(E_F) (states/eV/atom) | size of the total moment (Bohr magnetons per cell) |
| --- | --- | --- |
| 1 | 0.568 | 0.00 |
| 2 | 0.572 | 0.00 |
| 3 | 0.528 | 0.00 |
| 4 | 0.603 | 0.00 |
| 5 | 0.395 | 0.00 |
| 6 | 0.626 | 0.00 |
| 7 | 0.576 | 0.00 |
| 8 | 0.625 | 0.00 |
| 9 | 0.764 | 0.00 |
| 10 | 0.977 | 0.60 |
| 11 | 0.488 | 0.00 |
| 12 | 0.340 | 0.00 |